Record 1
Compound: NpUGa
Source: Alexandria via LeMat-Bulk
Functional: GGA-PBE
Structure: optimized geometry

Summary:
For the total energy, the calculation gives -54.04 eV per cell. The energy relative to the elements comes out at 0.0791 eV per atom.

a = 3.7899 Å, b = 3.7899 Å, c = 8.8793 Å
α = 90.00°, β = 90.00°, γ = 90.00°
Closest atoms and distances in Å follow each position.
Space group I4mm (No. 107)
Symmetry-distinct sites (fractional):
1 Np 0.0000 0.0000 0.0000 x2  5 U 2.83-3.13, 5 Ga 3.02-3.03
2 U 0.0000 0.0000 0.6816 x2  5 Np 2.83-3.13, 5 Ga 3.03
3 Ga 0.0000 0.0000 0.3405 x2  5 Np 3.02-3.03, 5 U 3.03



Record 2
Compound: LiMg5Au6
Source: Alexandria via LeMat-Bulk
Functional: GGA-PBE
Structure: optimized geometry

Summary:
For the total energy, the calculation gives -73.56 eV per cell. The energy relative to the elements comes out at -0.6025 eV per atom.

a = 4.6300 Å, b = 6.6094 Å, c = 13.8348 Å
α = 90.00°, β = 90.00°, γ = 90.00°
Closest atoms and distances in Å follow each position.
Space group Immm (No. 71)
Symmetry-distinct sites (fractional):
1 Li 0.0000 0.0000 0.0000 x2  8 Au 2.79-2.82
2 Mg 0.0000 0.0000 0.3339 x4  8 Au 2.86
3 Mg 0.0000 0.5000 0.0000 x2  8 Au 2.82-2.87
4 Mg 0.0000 0.5000 0.3320 x4  8 Au 2.82-2.87
5 Au 0.0000 0.2453 0.1637 x8  1 Li 2.79, 7 Mg 2.82-2.87
6 Au 0.0000 0.2577 0.5000 x4  2 Li 2.82, 6 Mg 2.82-2.87



Record 3
Compound: CrSb2Pb
Source: Alexandria via LeMat-Bulk
Functional: GGA-PBE
Structure: optimized geometry

Summary:
For the total energy, the calculation gives -78.74 eV per cell. Its formation energy from raw total energies is 0.4726 eV per atom.

a = 7.4668 Å, b = 7.4668 Å, c = 7.4668 Å
α = 90.00°, β = 90.00°, γ = 90.00°
Closest atoms and distances in Å follow each position.
Space group F-43m (No. 216)
Symmetry-distinct sites (fractional):
1 Cr 0.0000 0.0000 0.0000 x4  4 Pb 3.23, 4 Sb 3.23
2 Sb 0.0000 0.0000 0.5000 x4  4 Pb 3.23, 4 Sb 3.23
3 Sb 0.2500 0.2500 0.7500 x4  4 Cr 3.23, 4 Sb 3.23
4 Pb 0.2500 0.2500 0.2500 x4  4 Cr 3.23, 4 Sb 3.23



Record 4
Compound: LiYV2Cd
Source: Alexandria via LeMat-Bulk
Functional: GGA-PBE
Structure: optimized geometry

Summary:
For the total energy, the calculation gives -21.46 eV per cell. The energy relative to the elements comes out at 1.2140 eV per atom.

a = 5.1743 Å, b = 5.1743 Å, c = 5.5451 Å
α = 90.00°, β = 90.00°, γ = 90.00°
Closest atoms and distances in Å follow each position.
Space group P4/mmm (No. 123)
Symmetry-distinct sites (fractional):
1 Li 0.0000 0.0000 0.0000 x1  4 Y 3.66, 8 V 3.79
2 Y 0.5000 0.5000 0.0000 x1  2 Cd 2.77
3 V 0.0000 0.5000 0.5000 x2  2 Cd 2.59
4 Cd 0.5000 0.5000 0.5000 x1  4 V 2.59, 2 Y 2.77



Record 5
Compound: Na2SrPO4
Source: Alexandria via LeMat-Bulk
Functional: GGA-PBE
Structure: optimized geometry

Summary:
For the total energy, the calculation gives -92.49 eV per cell. Its formation energy from raw total energies is -2.0855 eV per atom.

a = 5.4583 Å, b = 5.4583 Å, c = 9.2303 Å
α = 90.00°, β = 90.00°, γ = 90.00°
Closest atoms and distances in Å follow each position.
Space group I-4 (No. 82)
Symmetry-distinct sites (fractional):
1 Na 0.0000 0.0000 0.0000 x2  4 O 2.48
2 Na 0.0000 0.5000 0.2500 x2  4 O 2.72
3 Sr 0.0000 0.0000 0.5000 x2  4 O 2.47
4 P 0.0000 0.5000 0.7500 x2  4 O 1.57
5 O 0.1670 0.3319 0.6527 x8  1 P 1.57



Record 6
Compound: ScNbSe3
Source: Alexandria via LeMat-Bulk
Functional: GGA-PBE
Structure: optimized geometry

Summary:
For the total energy, the calculation gives -28.63 eV per cell. Its formation energy from raw total energies is -0.3543 eV per atom.

a = 5.0280 Å, b = 5.0280 Å, c = 5.0280 Å
α = 90.00°, β = 90.00°, γ = 90.00°
Closest atoms and distances in Å follow each position.
Space group Pm-3m (No. 221)
Symmetry-distinct sites (fractional):
1 Sc 0.0000 0.0000 0.0000 x1  12 Se 3.56
2 Nb 0.5000 0.5000 0.5000 x1  6 Se 2.51
3 Se 0.0000 0.5000 0.5000 x3  2 Nb 2.51



Record 7
Compound: In2SbO6
Source: Alexandria via LeMat-Bulk
Functional: GGA-PBE
Structure: optimized geometry

Summary:
For the total energy, the calculation gives -102.56 eV per cell. Its formation energy from raw total energies is -1.3258 eV per atom.

a = 4.9119 Å, b = 4.9119 Å, c = 9.8553 Å
α = 90.00°, β = 90.00°, γ = 90.00°
Closest atoms and distances in Å follow each position.
Space group P4_2/mnm (No. 136)
Symmetry-distinct sites (fractional):
1 In 0.0000 0.0000 0.1670 x4  6 O 2.17-2.20
2 Sb 0.0000 0.0000 0.5000 x2  6 O 2.01-2.02
3 O 0.1881 0.1881 0.3454 x8  1 Sb 2.01, 2 In 2.17-2.19
4 O 0.2094 0.2094 0.0000 x4  1 Sb 2.02, 2 In 2.20



Record 8
Compound: ScCr4Rh
Source: Alexandria via LeMat-Bulk
Functional: GGA-PBE
Structure: optimized geometry

Summary:
For the total energy, the calculation gives -207.75 eV per cell. The energy relative to the elements comes out at 0.0398 eV per atom.

a = 6.8818 Å, b = 6.8818 Å, c = 6.8818 Å
α = 90.00°, β = 90.00°, γ = 90.00°
Closest atoms and distances in Å follow each position.
Space group F-43m (No. 216)
Symmetry-distinct sites (fractional):
1 Sc 0.0000 0.0000 0.0000 x4  12 Cr 2.85, 4 Rh 2.98
2 Cr 0.1270 0.1270 0.6270 x16  6 Cr 2.39-2.47
3 Rh 0.2500 0.2500 0.2500 x4  12 Cr 2.86, 4 Sc 2.98



Record 9
Compound: CoSi2Ag
Source: Alexandria via LeMat-Bulk
Functional: GGA-PBE
Structure: optimized geometry

Summary:
For the total energy, the calculation gives -19.58 eV per cell. Its formation energy from raw total energies is 0.3067 eV per atom.

a = 3.8875 Å, b = 3.8875 Å, c = 3.6009 Å
α = 90.00°, β = 90.00°, γ = 90.00°
Closest atoms and distances in Å follow each position.
Space group P4/mmm (No. 123)
Symmetry-distinct sites (fractional):
1 Co 0.0000 0.0000 0.0000 x1  8 Si 2.65, 4 Ag 2.75
2 Si 0.0000 0.5000 0.5000 x2  4 Co 2.65, 4 Ag 2.65, 4 Si 2.75
3 Ag 0.5000 0.5000 0.0000 x1  8 Si 2.65, 4 Co 2.75



Record 10
Compound: RbH3S
Source: Alexandria via LeMat-Bulk
Functional: GGA-PBE
Structure: optimized geometry

Summary:
For the total energy, the calculation gives -13.85 eV per cell.

a = 3.9518 Å, b = 3.9518 Å, c = 3.9518 Å
α = 90.00°, β = 90.00°, γ = 90.00°
Closest atoms and distances in Å follow each position.
Space group Pm-3m (No. 221)
Symmetry-distinct sites (fractional):
1 Rb 0.0000 0.0000 0.0000 x1  12 H 2.79
2 H 0.0000 0.5000 0.5000 x3  2 S 1.98
3 S 0.5000 0.5000 0.5000 x1  6 H 1.98



Record 11
Compound: BaCd5Hg7
Source: Alexandria via LeMat-Bulk
Functional: GGA-PBE
Structure: optimized geometry

Summary:
For the total energy, the calculation gives -20.82 eV per cell. The energy relative to the elements comes out at -0.1386 eV per atom.

a = 6.1799 Å, b = 10.6002 Å, c = 10.2693 Å
α = 90.00°, β = 90.00°, γ = 90.00°
Closest atoms and distances in Å follow each position.
Space group Imm2 (No. 44)
Symmetry-distinct sites (fractional):
1 Ba 0.0000 0.0000 0.0000 x2  10 Hg 3.58-3.86, 6 Cd 3.97-3.98
2 Cd 0.0000 0.5000 0.2573 x2  4 Cd 3.08, 6 Hg 3.12-3.28
3 Cd 0.2486 0.2503 0.7461 x8  7 Hg 3.03-3.28, 3 Cd 3.07-3.11
4 Hg 0.0000 0.0000 0.3574 x2  3 Hg 3.01-3.37, 4 Cd 3.28
5 Hg 0.0000 0.0000 0.6510 x2  1 Hg 3.01, 6 Cd 3.22-3.28
6 Hg 0.0000 0.3017 0.4932 x4  5 Cd 3.03-3.21, 1 Hg 3.18
7 Hg 0.0000 0.3470 0.9973 x4  5 Cd 3.12-3.17, 4 Hg 3.23-3.47
8 Hg 0.0000 0.5000 0.7258 x2  4 Cd 3.07, 6 Hg 3.18-3.37



Record 12
Compound: Tc2RhSe
Source: Alexandria via LeMat-Bulk
Functional: GGA-PBE
Structure: optimized geometry

Summary:
For the total energy, the calculation gives -92.21 eV per cell. Its formation energy from raw total energies is 0.2074 eV per atom.

a = 2.8730 Å, b = 2.8730 Å, c = 24.9449 Å
α = 90.00°, β = 90.00°, γ = 120.00°
Closest atoms and distances in Å follow each position.
Space group R-3m (No. 166, hexagonal axes)
Symmetry-distinct sites (fractional):
1 Tc 0.0000 0.0000 0.2466 x6  3 Se 2.59, 3 Rh 2.73, 6 Tc 2.87
2 Rh 0.0000 0.0000 0.0000 x3  6 Tc 2.73, 6 Rh 2.87
3 Se 0.0000 0.0000 0.5000 x3  6 Tc 2.59, 6 Se 2.87